(1)
Density functional theory data (SCAN) for a PBEsol-optimized structure of MgTl2Mo.

Unit cell a=3.0383 b=5.6541 c=5.7222 alpha=118.58 beta=103.68 gamma=93.37
Last column: nearest neighbours and their distance in Å.
Positions (direct):
Mg 0.0000 0.5000 0.0000  4 Tl 2.90, 2 Mg 3.04, 2 Mo 3.13
Mo 0.5000 0.0000 0.0000  4 Tl 2.90, 2 Mo 3.04, 2 Mg 3.13
Tl 0.5000 0.5000 0.5000  2 Mg 2.90, 2 Mo 2.90, 4 Tl 3.04-3.13
Tl 0.0000 0.0000 0.5000  2 Mo 2.90, 2 Mg 2.90, 4 Tl 3.04-3.13

Values from the calculation:
**Distance to the lowest polymorph of the same formula**: 0.031 eV per atom
**Density**: 10.69 g/cm³
**Magnetization**: 0.01 Bohr magnetons per cell
**Symmetry**: C2/m, No. 12

***

(2)
Density functional theory data (SCAN) for a PBEsol-optimized structure of MgTl2Mo.

Unit cell a=4.1998 b=4.1998 c=5.3447 alpha=113.13 beta=113.13 gamma=90.00
Last column: nearest neighbours and their distance in Å.
Positions (direct):
Mg 0.5000 0.5000 0.0000  4 Mo 2.97, 8 Tl 3.06
Mo 0.0000 0.0000 0.0000  4 Mg 2.97, 8 Tl 3.06
Tl 0.7500 0.2500 0.5000  4 Tl 2.97, 4 Mo 3.06, 4 Mg 3.06
Tl 0.2500 0.7500 0.5000  4 Tl 2.97, 4 Mo 3.06, 4 Mg 3.06

Values from the calculation:
**Distance to the lowest polymorph of the same formula**: 0.000 eV per atom
**Density**: 11.21 g/cm³
**Magnetization**: 0.00 Bohr magnetons per cell
**Symmetry**: I4/mmm, No. 139

***

(3)
Density functional theory data (SCAN) for a PBEsol-optimized structure of MgTlMo3.

Unit cell a=4.5716 b=4.5716 c=4.5716 alpha=90.00 beta=90.00 gamma=90.00
Last column: nearest neighbours and their distance in Å.
Positions (direct):
Mg 0.0000 0.0000 0.0000  6 Mo 2.29
Tl 0.5000 0.5000 0.5000  12 Mo 3.23
Mo 0.0000 0.5000 0.0000  2 Mg 2.29
Mo 0.0000 0.0000 0.5000  2 Mg 2.29
Mo 0.5000 0.0000 0.0000  2 Mg 2.29

Values from the calculation:
**Density**: 8.98 g/cm³
**Uncorrected energy**: -34.33 eV per atom
**Magnetization**: 2.68 Bohr magnetons per cell
**Symmetry**: Pm-3m, No. 221

***

| no. | N(E_F) (states/eV/f.u.) |
| --- | --- |
| 1 | 3.03 |
| 2 | 0.95 |
| 3 | 2.44 |